DFT (PBEsol) results for a geometry-optimized Sr2ZrTc structure.

Its magnetic moment is 0.000 μB per atom. As for the formation enthalpy at 0 K: 359 kJ/mol of formula units.

The structure belongs to space group Pmmm (No. 47); the cell edges are 3.0550, 5.3227 and 6.0091 Å and the angles 90.00°, 90.00° and 90.00°. The distinct sites, in fractional coordinates, are Sr at (0.0000, 0.0000, 0.2395), Zr at (0.5000, 0.5000, 0.5000) and Tc at (0.5000, 0.5000, 0.0000).